#P
Below is VIrI2O after structural relaxation, with properties calculated at the PBE with a Hubbard U level.

Its crystal system is tetragonal.

Cell: 5.7106 5.7106 3.7452 Å, 90.00 90.00 90.00°
Atoms (fractional coordinates):
V: 0.0000 0.0000 0.0000
Ir: 0.5000 0.5000 0.5000
I: 0.0000 0.5000 0.5000
I: 0.5000 0.0000 0.5000
O: 0.5000 0.5000 0.0000


#Q
Below is VIrI2O after structural relaxation, with properties calculated at the PBE with a Hubbard U level.

Its crystal system is tetragonal.

Cell: 5.4635 5.4635 3.5967 Å, 90.00 90.00 90.00°
Atoms (fractional coordinates):
V: 0.0000 0.0000 0.0000
Ir: 0.5000 0.5000 0.5000
I: 0.0000 0.5000 0.0000
I: 0.5000 0.0000 0.0000
O: 0.0000 0.0000 0.5000


Which of them is the most stable, and which is the least stable? #P and #Q, in that order.


#P
Below is VIrIO2 after structural relaxation, with properties calculated at the PBE with a Hubbard U level.

Its crystal system is tetragonal.

Cell: 3.7071 3.7071 6.3899 Å, 90.00 90.00 90.00°
Atoms (fractional coordinates):
V: 0.0000 0.0000 0.0000
Ir: 0.5000 0.5000 0.5000
I: 0.0000 0.0000 0.5000
O: 0.0000 0.5000 0.0000
O: 0.5000 0.0000 0.0000


#Q
Below is VIrIO2 after structural relaxation, with properties calculated at the PBE with a Hubbard U level.

Its crystal system is tetragonal.

Cell: 3.8171 3.8171 8.0018 Å, 90.00 90.00 90.00°
Atoms (fractional coordinates):
V: 0.0000 0.0000 0.0000
Ir: 0.5000 0.5000 0.5000
I: 0.5000 0.5000 0.0000
O: 0.0000 0.5000 0.5000
O: 0.5000 0.0000 0.5000


Which of them is the most stable, and which is the least stable? #P and #Q, in that order.


#P
Below is IrWIO2 after structural relaxation, with properties calculated at the PBE with a Hubbard U level.

Its crystal system is tetragonal.

Cell: 3.8894 3.8894 7.6838 Å, 90.00 90.00 90.00°
Atoms (fractional coordinates):
Ir: 0.0000 0.0000 0.0000
W: 0.5000 0.5000 0.5000
I: 0.0000 0.0000 0.5000
O: 0.0000 0.5000 0.0000
O: 0.5000 0.0000 0.0000


#Q
Below is IrWIO2 after structural relaxation, with properties calculated at the PBE with a Hubbard U level.

Its crystal system is tetragonal.

Cell: 3.8342 3.8342 8.0043 Å, 90.00 90.00 90.00°
Atoms (fractional coordinates):
Ir: 0.0000 0.0000 0.0000
W: 0.5000 0.5000 0.5000
I: 0.5000 0.5000 0.0000
O: 0.0000 0.5000 0.5000
O: 0.5000 0.0000 0.5000


Which of them is the most stable, and which is the least stable? #Q and #P, in that order.


#P
Below is IrWI2O after structural relaxation, with properties calculated at the PBE with a Hubbard U level.

Its crystal system is tetragonal.

Cell: 5.6780 5.6780 3.7482 Å, 90.00 90.00 90.00°
Atoms (fractional coordinates):
Ir: 0.0000 0.0000 0.0000
W: 0.5000 0.5000 0.5000
I: 0.0000 0.5000 0.0000
I: 0.5000 0.0000 0.0000
O: 0.0000 0.0000 0.5000


#Q
Below is IrWI2O after structural relaxation, with properties calculated at the PBE with a Hubbard U level.

Its crystal system is tetragonal.

Cell: 5.7505 5.7505 3.8068 Å, 90.00 90.00 90.00°
Atoms (fractional coordinates):
Ir: 0.0000 0.0000 0.0000
W: 0.5000 0.5000 0.5000
I: 0.0000 0.5000 0.5000
I: 0.5000 0.0000 0.5000
O: 0.5000 0.5000 0.0000


Which of them is the most stable, and which is the least stable? #P and #Q, in that order.